Record 1
Entry from Alexandria: crystalline RbNaGeI4 at its relaxed geometry (PBE).

The structure belongs to space group P2_1/m (No. 11); the cell edges are 7.953, 8.441 and 9.799 Å and the angles 90.00°, 100.64° and 90.00°. Symmetry generates all atoms from Rb at (0.218, 0.250, 0.064), Na at (0.301, 0.250, 0.624), Ge at (0.195, 0.750, 0.349), I at (0.049, 0.005, 0.738), I at (0.372, 0.750, 0.126) and I at (0.495, 0.750, 0.606).

For the total energy, the calculation gives -38.17 eV for the cell shown. For the uncorrected formation energy, the calculation gives -854 meV/atom. The calculation puts the total magnetization at 0.000 Bohr magnetons per cell.

***

Record 2
Entry from Alexandria: crystalline CaTa3Ga at its relaxed geometry (PBE).

The structure belongs to space group Pm-3m (No. 221); the cell edges are 4.738, 4.738 and 4.738 Å and the angles 90.00°, 90.00° and 90.00°. Symmetry generates all atoms from Ca at (0.000, 0.000, 0.000), Ta at (0.000, 0.000, 0.500) and Ga at (0.500, 0.500, 0.500).

Its energy of formation from the pure elements is 12.5 eV/f.u. For the total energy, the calculation gives -28.07 eV for the cell shown. The calculation puts the total magnetization at 0.000 Bohr magnetons per cell.

***

no.,mass density (g cm⁻³)
1,3.54
2,10.19